1.
Compound: CdGaNO
Source: the Open Quantum Materials Database
Functional: GGA-PBE
Structure: optimized geometry

## Properties
- polymorph energy (0 for the lowest one) (eV/f.u.) = 2.117
- symmetry = P4/nmm (129)

Unit cell a=4.024 b=4.024 c=7.321 alpha=90.00 beta=90.00 gamma=90.00
Positions (direct):
Cd (0.250, 0.250, 0.118)
Cd (0.750, 0.750, 0.882)
Ga (0.750, 0.250, 0.500)
Ga (0.250, 0.750, 0.500)
N (0.250, 0.250, 0.444)
N (0.750, 0.750, 0.556)
O (0.750, 0.250, 0.000)
O (0.250, 0.750, 0.000)



2.
Compound: CdGaNO
Source: the Open Quantum Materials Database
Functional: GGA-PBE
Structure: optimized geometry

## Properties
- polymorph energy (0 for the lowest one) (eV/f.u.) = 1.083
- symmetry = P4/nmm (129)

Unit cell a=3.920 b=3.920 c=7.468 alpha=90.00 beta=90.00 gamma=90.00
Positions (direct):
Cd (0.750, 0.250, 0.500)
Cd (0.250, 0.750, 0.500)
Ga (0.750, 0.750, 0.098)
Ga (0.250, 0.250, 0.902)
N (0.750, 0.750, 0.346)
N (0.250, 0.250, 0.654)
O (0.750, 0.250, 0.000)
O (0.250, 0.750, 0.000)



3.
Compound: CdGaNO
Source: the Open Quantum Materials Database
Functional: GGA-PBE
Structure: optimized geometry

## Properties
- polymorph energy (0 for the lowest one) (eV/f.u.) = 0.391
- symmetry = Pmc2_1 (26)

Unit cell a=3.346 b=5.548 c=5.954 alpha=90.00 beta=90.00 gamma=90.00
Positions (direct):
Cd (0.500, 0.995, 0.174)
Cd (0.500, 0.495, 0.826)
Ga (0.000, 0.505, 0.358)
Ga (0.000, 0.005, 0.642)
N (0.000, 0.844, 0.364)
N (0.000, 0.344, 0.636)
O (0.500, 0.410, 0.197)
O (0.500, 0.910, 0.803)



4.
Compound: CdGaNO
Source: the Open Quantum Materials Database
Functional: GGA-PBE
Structure: optimized geometry

## Properties
- polymorph energy (0 for the lowest one) (eV/f.u.) = 0.000
- symmetry = Pca2_1 (29)

Unit cell a=5.805 b=6.964 c=5.347 alpha=90.00 beta=90.00 gamma=90.00
Positions (direct):
Cd (0.571, 0.355, 0.003)
Cd (0.071, 0.645, 0.003)
Cd (0.929, 0.355, 0.503)
Cd (0.429, 0.645, 0.503)
Ga (0.409, 0.105, 0.492)
Ga (0.909, 0.895, 0.492)
Ga (0.091, 0.105, 0.992)
Ga (0.591, 0.895, 0.992)
N (0.396, 0.093, 0.132)
N (0.896, 0.907, 0.132)
N (0.104, 0.093, 0.632)
N (0.604, 0.907, 0.632)
O (0.953, 0.349, 0.075)
O (0.453, 0.651, 0.075)
O (0.547, 0.349, 0.575)
O (0.047, 0.651, 0.575)



5.
Compound: Sc4CdGaN2
Source: the Open Quantum Materials Database
Functional: GGA-PBE
Structure: optimized geometry

## Properties
- electronic total energy (eV/atom) = -6.87
- symmetry = P-6m2 (187)
- M_tot (μB/cell) = 0.3

Unit cell a=3.220 b=3.220 c=14.574 alpha=90.00 beta=90.00 gamma=120.00
Positions (direct):
Cd (0.667, 0.333, 0.000)
Ga (0.000, 0.000, 0.500)
N (0.333, 0.667, 0.258)
N (0.333, 0.667, 0.742)
Sc (0.000, 0.000, 0.175)
Sc (0.667, 0.333, 0.343)
Sc (0.667, 0.333, 0.657)
Sc (0.000, 0.000, 0.825)



6.
Compound: Y4CdGaN2
Source: the Open Quantum Materials Database
Functional: GGA-PBE
Structure: optimized geometry

## Properties
- electronic total energy (eV/atom) = -6.78
- symmetry = P-6m2 (187)
- M_tot (μB/cell) = 0.3

Unit cell a=3.506 b=3.506 c=15.398 alpha=90.00 beta=90.00 gamma=120.00
Positions (direct):
Cd (0.000, 0.000, 0.000)
Ga (0.667, 0.333, 0.500)
N (0.333, 0.667, 0.257)
N (0.333, 0.667, 0.743)
Y (0.667, 0.333, 0.169)
Y (0.000, 0.000, 0.345)
Y (0.000, 0.000, 0.655)
Y (0.667, 0.333, 0.831)



Number 4 is which compound? CdGaNO